Entry 1:
A plane-wave DFT calculation with PBE-GGA was carried out for a relaxed Ac8NiOs2 crystal.

## Properties
E_form, eV per atom: -0.05

Lattice parameters (Å, degrees): 13.1939 8.8275 7.1229 90.00 90.22 90.00
Space group C2/m (No. 12)
Symmetry-distinct sites (fractional):
Ac (0.1186, 0.0000, 0.3417)
Ac (0.1301, 0.2715, 0.8314)
Ac (0.1333, 0.5000, 0.3221)
Ni (0.0000, 0.0000, 0.0000)
Os (0.2202, 0.0000, 0.9835)

Entry 2:
A plane-wave DFT calculation with PBE-GGA was carried out for a relaxed Ta2FeCu crystal.

## Properties
E_form, eV per atom: 0.04

Lattice parameters (Å, degrees): 3.1868 3.1868 5.8969 90.00 90.00 90.00
Space group P4mm (No. 99)
Symmetry-distinct sites (fractional):
Ta (0.0000, 0.0000, 0.0000)
Ta (0.5000, 0.5000, 0.3038)
Fe (0.5000, 0.5000, 0.7717)
Cu (0.0000, 0.0000, 0.5443)

Entry 3:
A plane-wave DFT calculation with PBE-GGA was carried out for a relaxed AcPm4DyTm2 crystal.

## Properties
E_form, eV per atom: 0.12

Lattice parameters (Å, degrees): 5.9376 5.9521 7.7575 90.00 90.00 90.00
Space group Pmmm (No. 47)
Symmetry-distinct sites (fractional):
Ac (0.0000, 0.0000, 0.0000)
Pm (0.0000, 0.5000, 0.2700)
Pm (0.5000, 0.0000, 0.2712)
Dy (0.5000, 0.5000, 0.5000)
Tm (0.0000, 0.0000, 0.5000)
Tm (0.5000, 0.5000, 0.0000)

Entry 4:
A plane-wave DFT calculation with PBE-GGA was carried out for a relaxed LiCaIr2 crystal.

## Properties
E_form, eV per atom: 0.26

Lattice parameters (Å, degrees): 6.4104 6.4104 6.4104 90.00 90.00 90.00
Space group Fm-3m (No. 225)
Symmetry-distinct sites (fractional):
Li (0.0000, 0.0000, 0.0000)
Ca (0.0000, 0.0000, 0.5000)
Ir (0.2500, 0.2500, 0.2500)

Entry 5:
A plane-wave DFT calculation with PBE-GGA was carried out for a relaxed SrLiInAu crystal.

## Properties
E_form, eV per atom: -0.45

Lattice parameters (Å, degrees): 7.2447 7.2447 7.2447 90.00 90.00 90.00
Space group F-43m (No. 216)
Symmetry-distinct sites (fractional):
Sr (0.0000, 0.0000, 0.0000)
Li (0.2500, 0.2500, 0.2500)
In (0.0000, 0.0000, 0.5000)
Au (0.2500, 0.2500, 0.7500)

Entry 6:
A plane-wave DFT calculation with PBE-GGA was carried out for a relaxed Rb2MoOs crystal.

## Properties
E_form, eV per atom: 1.66

Lattice parameters (Å, degrees): 13.3663 13.3663 4.6731 90.00 90.00 90.00
Space group I-42d (No. 122)
Symmetry-distinct sites (fractional):
Rb (0.0627, 0.2500, 0.1250)
Mo (0.0000, 0.0000, 0.0000)
Os (0.0000, 0.0000, 0.5000)

Entry 7:
A plane-wave DFT calculation with PBE-GGA was carried out for a relaxed TaHg2As crystal.

## Properties
E_form, eV per atom: 0.42

Lattice parameters (Å, degrees): 5.5887 9.5748 3.0098 90.00 90.00 90.00
Space group Cmmm (No. 65)
Symmetry-distinct sites (fractional):
Ta (0.0000, 0.0000, 0.0000)
Hg (0.2500, 0.2500, 0.5000)
As (0.0000, 0.5000, 0.0000)

Entry 8:
A plane-wave DFT calculation with PBE-GGA was carried out for a relaxed Zn4SnHg crystal.

## Properties
E_form, eV per atom: 0.09

Lattice parameters (Å, degrees): 7.6953 7.6953 7.6953 90.00 90.00 90.00
Space group F-43m (No. 216)
Symmetry-distinct sites (fractional):
Zn (0.1250, 0.1250, 0.1250)
Sn (0.2500, 0.2500, 0.7500)
Hg (0.0000, 0.0000, 0.5000)

Entry 9:
A plane-wave DFT calculation with PBE-GGA was carried out for a relaxed NbFe4Os crystal.

## Properties
E_form, eV per atom: -0.07

Lattice parameters (Å, degrees): 6.7069 6.7069 6.7069 90.00 90.00 90.00
Space group F-43m (No. 216)
Symmetry-distinct sites (fractional):
Nb (0.0000, 0.0000, 0.0000)
Fe (0.1246, 0.1246, 0.3754)
Os (0.2500, 0.2500, 0.7500)

Entry 10:
A plane-wave DFT calculation with PBE-GGA was carried out for a relaxed Rb2AcI5 crystal.

## Properties
E_form (uncorrected), eV per atom: -1.5593

Lattice parameters (Å, degrees): 15.1858 10.3519 9.5757 90.00 90.00 90.00
Space group Pnma (No. 62)
Symmetry-distinct sites (fractional):
Rb (0.1725, 0.0042, 0.0570)
Ac (0.0059, 0.2500, 0.5767)
I (0.0081, 0.2500, 0.9270)
I (0.0773, 0.5455, 0.6681)
I (0.1827, 0.2500, 0.3737)
I (0.2062, 0.7500, 0.3375)

Entry 11:
A plane-wave DFT calculation with PBE-GGA was carried out for a relaxed MgFeSe2 crystal.

## Properties
E_form (uncorrected), eV per atom: -0.3253

Lattice parameters (Å, degrees): 4.4016 3.4730 6.1363 90.00 96.90 90.00
Space group P2/m (No. 10)
Symmetry-distinct sites (fractional):
Mg (0.0000, 0.0000, 0.0000)
Fe (0.0000, 0.0000, 0.5000)
Se (0.2515, 0.5000, 0.7439)

Entry 12:
A plane-wave DFT calculation with PBE-GGA was carried out for a relaxed Ba2HgPd2 crystal.

## Properties
E_form, eV per atom: -0.54

Lattice parameters (Å, degrees): 4.5471 15.0709 4.3804 90.00 90.00 90.00
Space group Cmmm (No. 65)
Symmetry-distinct sites (fractional):
Ba (0.0000, 0.1344, 0.0000)
Hg (0.0000, 0.5000, 0.5000)
Pd (0.0000, 0.3061, 0.5000)

Entry 13:
A plane-wave DFT calculation with PBE-GGA was carried out for a relaxed SrTa2PN crystal.

## Properties
E_form (uncorrected), eV per atom: 1.1942

Lattice parameters (Å, degrees): 4.6871 4.6871 4.8391 90.00 90.00 90.00
Space group P4/mmm (No. 123)
Symmetry-distinct sites (fractional):
Sr (0.0000, 0.0000, 0.0000)
Ta (0.0000, 0.5000, 0.5000)
P (0.5000, 0.5000, 0.5000)
N (0.5000, 0.5000, 0.0000)

Entry 14:
A plane-wave DFT calculation with PBE-GGA was carried out for a relaxed Ti6Hg2O crystal.

## Properties
E_form (uncorrected), eV per atom: -0.6341

Lattice parameters (Å, degrees): 8.3286 8.3286 8.3286 90.00 90.00 90.00
Space group Fm-3m (No. 225)
Symmetry-distinct sites (fractional):
Ti (0.0000, 0.0000, 0.2420)
Hg (0.2500, 0.2500, 0.2500)
O (0.0000, 0.0000, 0.5000)

Entry 15:
A plane-wave DFT calculation with PBE-GGA was carried out for a relaxed Nd7Y2Mg2 crystal.

## Properties
E_form, eV per atom: 0.11

Lattice parameters (Å, degrees): 10.8117 11.6619 6.1879 90.00 111.84 90.00
Space group C2/m (No. 12)
Symmetry-distinct sites (fractional):
Nd (0.0000, 0.0000, 0.0000)
Nd (0.0797, 0.5000, 0.7977)
Nd (0.1789, 0.2403, 0.1892)
Y (0.2054, 0.0000, 0.5915)
Mg (0.0000, 0.2263, 0.5000)

Entry 16:
A plane-wave DFT calculation with PBE-GGA was carried out for a relaxed Sm2MnH12Rh3 crystal.

Lattice parameters (Å, degrees): 6.2126 6.2126 14.1691 90.00 90.00 120.00
Space group R-3m (No. 166, hexagonal axes)
Symmetry-distinct sites (fractional):
Sm (0.0000, 0.0000, 0.1206)
Mn (0.0000, 0.0000, 0.5000)
H (0.0147, 0.5073, 0.1205)
H (0.0215, 0.5108, 0.3393)
Rh (0.0000, 0.5000, 0.0000)

Entry 17:
A plane-wave DFT calculation with PBE-GGA was carried out for a relaxed NbSi2Sb crystal.

## Properties
E_form (uncorrected), eV per atom: 0.6331

Lattice parameters (Å, degrees): 6.1178 6.1178 11.4063 90.00 90.00 90.00
Space group I-42d (No. 122)
Symmetry-distinct sites (fractional):
Nb (0.0000, 0.0000, 0.0000)
Si (0.2312, 0.2500, 0.1250)
Sb (0.0000, 0.0000, 0.5000)

Entry 18:
A plane-wave DFT calculation with PBE-GGA was carried out for a relaxed CaInPd2 crystal.

## Properties
E_form, eV per atom: -0.60

Lattice parameters (Å, degrees): 3.4478 3.4478 6.7214 90.00 90.00 90.00
Space group P4/mmm (No. 123)
Symmetry-distinct sites (fractional):
Ca (0.0000, 0.0000, 0.0000)
In (0.0000, 0.0000, 0.5000)
Pd (0.5000, 0.5000, 0.2813)

Entry 19:
A plane-wave DFT calculation with PBE-GGA was carried out for a relaxed Ta3Os2Ru crystal.

## Properties
E_form, eV per atom: -0.27

Lattice parameters (Å, degrees): 4.5228 13.9985 6.1471 90.00 90.00 90.00
Space group Cmmm (No. 65)
Symmetry-distinct sites (fractional):
Ta (0.0000, 0.0000, 0.2494)
Ta (0.0000, 0.3271, 0.2492)
Os (0.0000, 0.1549, 0.5000)
Os (0.0000, 0.5000, 0.0000)
Os (0.0000, 0.5000, 0.5000)
Ru (0.0000, 0.1529, 0.0000)

Entry 20:
A plane-wave DFT calculation with PBE-GGA was carried out for a relaxed Pr3FePb crystal.

## Properties
E_form, eV per atom: -0.12

Lattice parameters (Å, degrees): 5.2793 5.2793 5.2793 90.00 90.00 90.00
Space group Pm-3m (No. 221)
Symmetry-distinct sites (fractional):
Pr (0.0000, 0.0000, 0.5000)
Fe (0.0000, 0.0000, 0.0000)
Pb (0.5000, 0.5000, 0.5000)

no.,DFT total energy (eV/atom)
1,-5.609
2,-9.029
3,-4.457
4,-5.147
5,-2.850
6,-4.338
7,-3.859
8,-1.481
9,-9.264
10,-3.284
11,-4.582
12,-3.451
13,-6.630
14,-6.515
15,-4.390
16,-4.746
17,-5.626
18,-4.377
19,-11.489
20,-5.419